1.
The following is a DFT calculation (GGA-PBE) of crystalline LiGd2Hf at its relaxed geometry.

It has space group R-3m (No. 166, hexagonal axes), with a = 3.2386 Å, b = 3.2386 Å, c = 35.5649 Å, α = 90.00°, β = 90.00° and γ = 120.00°. Symmetry generates all atoms from Li at (0.0000, 0.0000, 0.0000), Gd at (0.0000, 0.0000, 0.4135) and Hf at (0.0000, 0.0000, 0.5000).

For the excess energy over the best structure of this formula in the dataset, the calculation gives 306 meV per atom. The value obtained for the density of states at the Fermi level is 4.64 states/eV/f.u. The calculation puts the total moment at 15.32 μB per formula unit.

2.
The following is a DFT calculation (GGA-PBE) of crystalline Li2GdHf at its relaxed geometry.

It has space group R-3m (No. 166, hexagonal axes), with a = 3.0810 Å, b = 3.0810 Å, c = 35.2613 Å, α = 90.00°, β = 90.00° and γ = 120.00°. Symmetry generates all atoms from Li at (0.0000, 0.0000, 0.0835), Gd at (0.0000, 0.0000, 0.5000) and Hf at (0.0000, 0.0000, 0.0000).

For the total DFT energy (no corrections), the calculation gives -78.40 eV for the cell shown. The value obtained for the density of states at the Fermi level is 5.35 states/eV/f.u. The calculation puts the total moment at 7.93 μB per formula unit.

3.
The following is a DFT calculation (GGA-PBE) of crystalline LiGd2Hf at its relaxed geometry.

It has space group P4/mmm (No. 123), with a = 3.3905 Å, b = 3.3905 Å, c = 9.3207 Å, α = 90.00°, β = 90.00° and γ = 90.00°. Symmetry generates all atoms from Li at (0.0000, 0.0000, 0.0000), Gd at (0.5000, 0.5000, 0.2575) and Hf at (0.0000, 0.0000, 0.5000).

For the excess energy over the best structure of this formula in the dataset, the calculation gives 0 meV per atom. The value obtained for the density of states at the Fermi level is 4.01 states/eV/f.u. The calculation puts the total moment at 14.70 μB per formula unit.

4.
The following is a DFT calculation (GGA-PBE) of crystalline LiGdHfOs at its relaxed geometry.

It has space group F-43m (No. 216), with a = 6.7485 Å, b = 6.7485 Å, c = 6.7485 Å, α = 90.00°, β = 90.00° and γ = 90.00°. Symmetry generates all atoms from Li at (0.0000, 0.0000, 0.0000), Gd at (0.2500, 0.2500, 0.7500), Hf at (0.2500, 0.2500, 0.2500) and Os at (0.0000, 0.0000, 0.5000).

For the total DFT energy (no corrections), the calculation gives -152.14 eV for the cell shown. The value obtained for the density of states at the Fermi level is 2.90 states/eV/f.u. The calculation puts the total moment at 7.16 μB per formula unit.

5.
The following is a DFT calculation (GGA-PBE) of crystalline LiGdHfPt at its relaxed geometry.

It has space group F-43m (No. 216), with a = 6.8532 Å, b = 6.8532 Å, c = 6.8532 Å, α = 90.00°, β = 90.00° and γ = 90.00°. Symmetry generates all atoms from Li at (0.0000, 0.0000, 0.0000), Gd at (0.2500, 0.2500, 0.7500), Hf at (0.2500, 0.2500, 0.2500) and Pt at (0.0000, 0.0000, 0.5000).

For the total DFT energy (no corrections), the calculation gives -134.95 eV for the cell shown. The value obtained for the density of states at the Fermi level is 3.20 states/eV/f.u. The calculation puts the total moment at 7.39 μB per formula unit.

6.
The following is a DFT calculation (GGA-PBE) of crystalline LiGdHfRe at its relaxed geometry.

It has space group F-43m (No. 216), with a = 6.7661 Å, b = 6.7661 Å, c = 6.7661 Å, α = 90.00°, β = 90.00° and γ = 90.00°. Symmetry generates all atoms from Li at (0.0000, 0.0000, 0.0000), Gd at (0.2500, 0.2500, 0.2500), Hf at (0.2500, 0.2500, 0.7500) and Re at (0.0000, 0.0000, 0.5000).

For the total DFT energy (no corrections), the calculation gives -153.80 eV for the cell shown. The value obtained for the density of states at the Fermi level is 2.09 states/eV/f.u. The calculation puts the total moment at 7.28 μB per formula unit.

7.
The following is a DFT calculation (GGA-PBE) of crystalline LiGdHfRh at its relaxed geometry.

It has space group F-43m (No. 216), with a = 6.7853 Å, b = 6.7853 Å, c = 6.7853 Å, α = 90.00°, β = 90.00° and γ = 90.00°. Symmetry generates all atoms from Li at (0.0000, 0.0000, 0.0000), Gd at (0.2500, 0.2500, 0.2500), Hf at (0.2500, 0.2500, 0.7500) and Rh at (0.0000, 0.0000, 0.5000).

For the total DFT energy (no corrections), the calculation gives -138.23 eV for the cell shown. The value obtained for the density of states at the Fermi level is 3.24 states/eV/f.u. The calculation puts the total moment at 7.30 μB per formula unit.

8.
The following is a DFT calculation (GGA-PBE) of crystalline GdLu2Hf at its relaxed geometry.

It has space group Fm-3m (No. 225), with a = 7.6400 Å, b = 7.6400 Å, c = 7.6400 Å, α = 90.00°, β = 90.00° and γ = 90.00°. Symmetry generates all atoms from Gd at (0.0000, 0.0000, 0.0000), Lu at (0.2500, 0.2500, 0.2500) and Hf at (0.0000, 0.0000, 0.5000).

For the total DFT energy (no corrections), the calculation gives -128.35 eV for the cell shown. The value obtained for the density of states at the Fermi level is 8.44 states/eV/f.u. The calculation puts the total moment at 7.04 μB per formula unit.

9.
The following is a DFT calculation (GGA-PBE) of crystalline GdLuHfSc at its relaxed geometry.

It has space group F-43m (No. 216), with a = 7.5101 Å, b = 7.5101 Å, c = 7.5101 Å, α = 90.00°, β = 90.00° and γ = 90.00°. Symmetry generates all atoms from Gd at (0.0000, 0.0000, 0.0000), Lu at (0.2500, 0.2500, 0.7500), Hf at (0.0000, 0.0000, 0.5000) and Sc at (0.2500, 0.2500, 0.2500).

For the total DFT energy (no corrections), the calculation gives -136.00 eV for the cell shown. The value obtained for the density of states at the Fermi level is 8.02 states/eV/f.u. The calculation puts the total moment at 6.90 μB per formula unit.

10.
The following is a DFT calculation (GGA-PBE) of crystalline GdLuHfTh at its relaxed geometry.

It has space group F-43m (No. 216), with a = 7.6966 Å, b = 7.6966 Å, c = 7.6966 Å, α = 90.00°, β = 90.00° and γ = 90.00°. Symmetry generates all atoms from Gd at (0.0000, 0.0000, 0.0000), Lu at (0.2500, 0.2500, 0.7500), Hf at (0.2500, 0.2500, 0.2500) and Th at (0.0000, 0.0000, 0.5000).

For the total DFT energy (no corrections), the calculation gives -141.08 eV for the cell shown. The value obtained for the density of states at the Fermi level is 6.00 states/eV/f.u. The calculation puts the total moment at 7.39 μB per formula unit.

11.
The following is a DFT calculation (GGA-PBE) of crystalline GdLuHfZr at its relaxed geometry.

It has space group F-43m (No. 216), with a = 7.4413 Å, b = 7.4413 Å, c = 7.4413 Å, α = 90.00°, β = 90.00° and γ = 90.00°. Symmetry generates all atoms from Gd at (0.0000, 0.0000, 0.0000), Lu at (0.2500, 0.2500, 0.2500), Hf at (0.2500, 0.2500, 0.7500) and Zr at (0.0000, 0.0000, 0.5000).

For the total DFT energy (no corrections), the calculation gives -144.72 eV for the cell shown. The value obtained for the density of states at the Fermi level is 8.63 states/eV/f.u. The calculation puts the total moment at 7.15 μB per formula unit.

12.
The following is a DFT calculation (GGA-PBE) of crystalline GdHfMg at its relaxed geometry.

It has space group I4mm (No. 107), with a = 3.3289 Å, b = 3.3289 Å, c = 13.7758 Å, α = 90.00°, β = 90.00° and γ = 90.00°. Symmetry generates all atoms from Gd at (0.0000, 0.0000, 0.0000), Hf at (0.0000, 0.0000, 0.6639) and Mg at (0.0000, 0.0000, 0.3173).

For the excess energy over the best structure of this formula in the dataset, the calculation gives 0 meV per atom. The value obtained for the density of states at the Fermi level is 1.82 states/eV/f.u. The calculation puts the total moment at 7.13 μB per formula unit.

13.
The following is a DFT calculation (GGA-PBE) of crystalline GdHfMg at its relaxed geometry.

It has space group P3m1 (No. 156), with a = 5.2338 Å, b = 5.2338 Å, c = 3.1655 Å, α = 90.00°, β = 90.00° and γ = 120.00°. Symmetry generates all atoms from Gd at (0.0000, 0.0000, 0.0000), Hf at (0.3333, 0.6667, 0.5527) and Mg at (0.6667, 0.3333, 0.3504).

For the excess energy over the best structure of this formula in the dataset, the calculation gives 160 meV per atom. The value obtained for the density of states at the Fermi level is 3.50 states/eV/f.u. The calculation puts the total moment at 6.93 μB per formula unit.

14.
The following is a DFT calculation (GGA-PBE) of crystalline GdHfMg4 at its relaxed geometry.

It has space group F-43m (No. 216), with a = 8.3022 Å, b = 8.3022 Å, c = 8.3022 Å, α = 90.00°, β = 90.00° and γ = 90.00°. Symmetry generates all atoms from Gd at (0.0000, 0.0000, 0.0000), Hf at (0.2500, 0.2500, 0.7500) and Mg at (0.1241, 0.1241, 0.3759).

For the total DFT energy (no corrections), the calculation gives -119.37 eV for the cell shown. The value obtained for the density of states at the Fermi level is 6.83 states/eV/f.u. The calculation puts the total moment at 9.05 μB per formula unit.

15.
The following is a DFT calculation (GGA-PBE) of crystalline GdHfThMg at its relaxed geometry.

It has space group F-43m (No. 216), with a = 7.5656 Å, b = 7.5656 Å, c = 7.5656 Å, α = 90.00°, β = 90.00° and γ = 90.00°. Symmetry generates all atoms from Gd at (0.0000, 0.0000, 0.0000), Hf at (0.2500, 0.2500, 0.7500), Th at (0.0000, 0.0000, 0.5000) and Mg at (0.2500, 0.2500, 0.2500).

For the total DFT energy (no corrections), the calculation gives -129.91 eV for the cell shown. The value obtained for the density of states at the Fermi level is 4.68 states/eV/f.u. The calculation puts the total moment at 7.85 μB per formula unit.